Entry 1:
Density functional theory data (PBE-GGA) for a geometry-optimized Ac11Tl9Pb4 structure.

For the raw total energy, the calculation gives -3.762 eV per atom.

The structure belongs to space group Cmmm (No. 65); the cell edges are 15.645, 23.136 and 4.696 Å and the angles 90.00°, 90.00° and 90.00°. The inequivalent atoms are Ac at (0.000, 0.000, 0.000), Ac at (0.000, 0.173, 0.000), Ac at (0.000, 0.365, 0.000), Ac at (0.226, 0.500, 0.000), Ac at (0.237, 0.174, 0.000), Tl at (0.000, 0.500, 0.500), Tl at (0.111, 0.261, 0.500), Tl at (0.125, 0.080, 0.500) and Pb at (0.154, 0.403, 0.500).

---

Entry 2:
Density functional theory data (PBE-GGA) for a geometry-optimized Ac5Tl2Pb structure.

For the raw total energy, the calculation gives -3.973 eV per atom.

The structure belongs to space group I4/mcm (No. 140); the cell edges are 9.235, 9.235 and 14.407 Å and the angles 90.00°, 90.00° and 90.00°. The inequivalent atoms are Ac at (0.000, 0.000, 0.000), Ac at (0.160, 0.340, 0.149), Tl at (0.138, 0.362, 0.500) and Pb at (0.000, 0.000, 0.250).

---

The following E_form values (in eV per atom) correspond, in order, to the records above: -0.37 -0.35.
The following theoretical density values (in g/cm3) correspond, in order, to the records above: 10.1 9.5.
The following N(E_F) values (in states/eV per cell) correspond, in order, to the records above: 30.35 28.54.